[1]
## CaNi2C2 (PBE)

Data for a relaxed CaNi2C2 crystal.

Geometry as CIF:
```
data_CaNi2C2
_chemical_formula_sum 'Ca2 Ni4 C4'
_symmetry_space_group_name_H-M 'I 4/m m m'
_symmetry_Int_Tables_number 139
_symmetry_space_group_name_Hall '-I 4 2'
_cell_length_a 3.436
_cell_length_b 3.436
_cell_length_c 10.123
_cell_angle_alpha 90.00
_cell_angle_beta 90.00
_cell_angle_gamma 90.00
loop_
_atom_site_label
_atom_site_type_symbol
_atom_site_fract_x
_atom_site_fract_y
_atom_site_fract_z
Ca1 Ca 0.000 0.000 0.000
Ni1 Ni 0.000 0.500 0.250
C1 C 0.000 0.000 0.344
```

Results
Electronic total energy = -6.18 eV/atom
Total magnetic moment = 0.000 μB per atom
E_form = 0.221 eV per atom

[2]
## Ca2Ni17C2 (PBE)

Data for a relaxed Ca2Ni17C2 crystal.

Geometry as CIF:
```
data_Ca2Ni17C2
_chemical_formula_sum 'Ca4 Ni34 C4'
_symmetry_space_group_name_H-M 'C 1 2/m 1'
_symmetry_Int_Tables_number 12
_symmetry_space_group_name_Hall '-C 2y'
_cell_length_a 9.463
_cell_length_b 8.439
_cell_length_c 6.403
_cell_angle_alpha 90.00
_cell_angle_beta 98.40
_cell_angle_gamma 90.00
loop_
_atom_site_label
_atom_site_type_symbol
_atom_site_fract_x
_atom_site_fract_y
_atom_site_fract_z
Ca1 Ca 0.146 0.000 0.324
Ni1 Ni 0.000 0.216 0.000
Ni2 Ni 0.000 0.500 0.500
Ni3 Ni 0.098 0.500 0.903
Ni4 Ni 0.103 0.256 0.656
Ni5 Ni 0.143 0.356 0.286
Ni6 Ni 0.154 0.000 0.865
Ni7 Ni 0.250 0.250 0.000
C1 C 0.250 0.250 0.500
```

Results
Electronic total energy = -5.77 eV/atom
Total magnetic moment = 0.187 μB per atom
E_form = -0.024 eV per atom

Q: E_form of number 1 (CaNi2C2)?
A: 0.221 eV per atom